one | The following is a DFT calculation (PBE) of a relaxed structure of La5SmHo.

Lattice parameters (Å, degrees): 8.8933 8.8933 10.8019 52.60 52.60 77.26
With the nearest neighbours (Å) after each atom.
Fractional coordinates of all 14 atoms:
La (0.4985, 0.9940, 0.7521)  2 Sm 3.49-3.52, 5 La 3.51-3.90, 2 Ho 3.53
La (0.3027, 0.3053, 0.9459)  3 La 3.43-3.75, 2 Sm 3.46-3.72, 2 Ho 3.79
La (0.7987, 0.2013, 0.7500)  8 La 3.48-3.75, 2 Ho 3.51
La (0.5015, 0.0060, 0.2479)  2 Sm 3.49-3.52, 5 La 3.51-3.90, 2 Ho 3.53
La (0.3053, 0.3027, 0.4459)  3 La 3.43-3.75, 2 Sm 3.46-3.72, 2 Ho 3.79
La (0.9940, 0.4985, 0.2521)  2 Sm 3.49-3.52, 5 La 3.51-3.90, 2 Ho 3.53
La (0.6947, 0.6973, 0.5541)  3 La 3.43-3.75, 2 Sm 3.46-3.72, 2 Ho 3.79
La (0.2013, 0.7987, 0.2500)  8 La 3.48-3.75, 2 Ho 3.51
La (0.0060, 0.5015, 0.7479)  2 Sm 3.49-3.52, 5 La 3.51-3.90, 2 Ho 3.53
La (0.6973, 0.6947, 0.0541)  3 La 3.43-3.75, 2 Sm 3.46-3.72, 2 Ho 3.79
Sm (0.2014, 0.7986, 0.7500)  8 La 3.46-3.72, 2 Ho 3.51
Sm (0.7986, 0.2014, 0.2500)  8 La 3.46-3.72, 2 Ho 3.51
Ho (0.0000, 0.0000, 0.0000)  10 La 3.51-3.79, 2 Sm 3.51
Ho (0.0000, 0.0000, 0.5000)  10 La 3.51-3.79, 2 Sm 3.51

two | The following is a DFT calculation (PBE) of a relaxed structure of La5SmHo.

Lattice parameters (Å, degrees): 6.2927 9.4417 9.2036 86.18 78.47 70.53
With the nearest neighbours (Å) after each atom.
Fractional coordinates of all 14 atoms:
La (0.7603, 0.6960, 0.0346)  4 La 3.37-3.57, 1 Ho 3.49, 1 Sm 3.63
La (0.6104, 0.3711, 0.1483)  7 La 3.37-3.72, 1 Ho 3.66, 1 Sm 3.70
La (0.4563, 0.3040, 0.5346)  4 La 3.37-3.57, 1 Ho 3.49, 1 Sm 3.63
La (0.9814, 0.6289, 0.6483)  7 La 3.37-3.72, 1 Ho 3.66, 1 Sm 3.70
La (0.3896, 0.6289, 0.8517)  7 La 3.37-3.72, 1 Ho 3.66, 1 Sm 3.70
La (0.8598, 0.2804, 0.7500)  2 Sm 3.39, 6 La 3.46-3.72
La (0.1402, 0.7196, 0.2500)  2 Sm 3.39, 6 La 3.46-3.72
La (0.0186, 0.3711, 0.3517)  7 La 3.37-3.72, 1 Ho 3.66, 1 Sm 3.70
La (0.2397, 0.3040, 0.9654)  4 La 3.37-3.57, 1 Ho 3.49, 1 Sm 3.63
La (0.5437, 0.6960, 0.4654)  4 La 3.37-3.57, 1 Ho 3.49, 1 Sm 3.63
Sm (0.0000, 0.0000, 0.5000)  6 La 3.39-3.70, 2 Ho 3.51
Sm (0.0000, 0.0000, 0.0000)  6 La 3.39-3.70, 2 Ho 3.51
Ho (0.5102, 0.9795, 0.7500)  6 La 3.49-3.80, 2 Sm 3.51
Ho (0.4898, 0.0205, 0.2500)  6 La 3.49-3.80, 2 Sm 3.51

two is favored, and the nearest alternative lies 1.0 kJ/mol of atoms above it.

one | The following is a DFT calculation (PBE) of a relaxed structure of La7Sm2Ho.

Lattice parameters (Å, degrees): 5.6539 9.3381 9.3381 122.47 90.00 90.00
With the nearest neighbours (Å) after each atom.
Fractional coordinates of all 10 atoms:
La (0.5000, 0.7015, 0.9284)  2 Sm 3.18-3.45, 2 La 3.33-3.39
La (0.5000, 0.5000, 0.5000)  2 Sm 3.31, 4 La 3.39
La (0.0000, 0.2379, 0.7621)  2 Sm 2.99
La (0.5000, 0.9284, 0.7015)  2 Sm 3.18-3.45, 2 La 3.33-3.39
La (0.5000, 0.0716, 0.2985)  2 Sm 3.18-3.45, 2 La 3.33-3.39
La (0.5000, 0.2985, 0.0716)  2 Sm 3.18-3.45, 2 La 3.33-3.39
La (0.0000, 0.7621, 0.2379)  2 Sm 2.99
Sm (0.5000, 0.2977, 0.7023)  5 La 2.99-3.31
Sm (0.5000, 0.7023, 0.2977)  5 La 2.99-3.31
Ho (0.0000, 0.0000, 0.0000)  10 La 3.77-3.89

two | The following is a DFT calculation (PBE) of a relaxed structure of La7Sm2Ho.

Lattice parameters (Å, degrees): 3.5177 12.0879 9.0189 112.44 90.00 90.00
With the nearest neighbours (Å) after each atom.
Fractional coordinates of all 10 atoms:
La (0.0000, 0.6132, 0.2200)  11 La 3.52-3.87, 2 Sm 3.70
La (0.5000, 0.5000, 0.5000)  10 La 3.44-3.74
La (0.0000, 0.3868, 0.7800)  11 La 3.52-3.87, 2 Sm 3.70
La (0.5000, 0.1935, 0.3843)  2 Sm 3.34-3.48, 4 La 3.44-3.52
La (0.5000, 0.3075, 0.0854)  1 Sm 3.39, 6 La 3.46-3.69
La (0.5000, 0.8065, 0.6157)  2 Sm 3.34-3.48, 4 La 3.44-3.52
La (0.5000, 0.6925, 0.9146)  1 Sm 3.39, 6 La 3.46-3.69
Ho (0.0000, 0.0000, 0.0000)  2 Ho 3.52, 4 Sm 3.76, 8 La 3.79-3.91
Sm (0.5000, 0.1010, 0.7049)  5 La 3.34-3.70, 3 Sm 3.52-3.57
Sm (0.5000, 0.8990, 0.2951)  5 La 3.34-3.70, 3 Sm 3.52-3.57

two is favored, and the nearest alternative lies 42.5 kJ/mol of atoms above it.

one | The following is a DFT calculation (PBE) of a relaxed structure of La3SmHo2.

Lattice parameters (Å, degrees): 6.3091 6.3091 12.1493 110.36 110.36 70.10
With the nearest neighbours (Å) after each atom.
Fractional coordinates of all 12 atoms:
La (0.4582, 0.2083, 0.9168)  5 Ho 3.62-3.69, 5 La 3.64-3.66, 2 Sm 3.65
La (0.5418, 0.7917, 0.0832)  5 Ho 3.62-3.69, 5 La 3.64-3.66, 2 Sm 3.65
La (0.2083, 0.4582, 0.4168)  5 Ho 3.62-3.69, 5 La 3.64-3.66, 2 Sm 3.65
La (0.7917, 0.5418, 0.5832)  5 Ho 3.62-3.69, 5 La 3.64-3.66, 2 Sm 3.65
La (0.6258, 0.3742, 0.2500)  2 Sm 3.62-3.63, 6 La 3.65-3.66, 4 Ho 3.66
La (0.3742, 0.6258, 0.7500)  2 Sm 3.62-3.63, 6 La 3.65-3.66, 4 Ho 3.66
Sm (0.1253, 0.8747, 0.2500)  6 La 3.62-3.65, 6 Ho 3.65-3.66
Sm (0.8747, 0.1253, 0.7500)  6 La 3.62-3.65, 6 Ho 3.65-3.66
Ho (0.9590, 0.7097, 0.9184)  7 La 3.62-3.69, 2 Ho 3.62-3.63, 3 Sm 3.65-3.66
Ho (0.2903, 0.0410, 0.5816)  7 La 3.62-3.69, 2 Ho 3.62-3.63, 3 Sm 3.65-3.66
Ho (0.7097, 0.9590, 0.4184)  7 La 3.62-3.69, 2 Ho 3.62-3.63, 3 Sm 3.65-3.66
Ho (0.0410, 0.2903, 0.0816)  7 La 3.62-3.69, 2 Ho 3.62-3.63, 3 Sm 3.65-3.66

two | The following is a DFT calculation (PBE) of a relaxed structure of La3SmHo2.

Lattice parameters (Å, degrees): 3.5005 6.0149 10.5039 106.64 99.59 90.00
With the nearest neighbours (Å) after each atom.
Fractional coordinates of all 6 atoms:
La (0.1888, 0.1888, 0.3777)  5 Ho 3.45-3.63, 2 La 3.50, 1 Sm 3.74
La (0.0000, 0.5000, 0.0000)  2 Sm 3.01, 4 Ho 3.23
La (0.8112, 0.8112, 0.6223)  5 Ho 3.45-3.63, 2 La 3.50, 1 Sm 3.74
Ho (0.6370, 0.6370, 0.2741)  3 La 3.23-3.45, 2 Ho 3.50
Ho (0.3630, 0.3630, 0.7259)  3 La 3.23-3.45, 2 Ho 3.50
Sm (0.0000, 0.0000, 0.0000)  2 La 3.01

one is favored, and the nearest alternative lies 27.5 kJ/mol of atoms above it.

one | The following is a DFT calculation (PBE) of a relaxed structure of LaSm8Ho2.

Lattice parameters (Å, degrees): 5.6423 8.3049 9.4448 116.08 107.38 90.00
With the nearest neighbours (Å) after each atom.
Fractional coordinates of all 11 atoms:
Sm (0.6398, 0.8439, 0.2796)  1 La 3.32, 4 Sm 3.39-3.60, 3 Ho 3.43-3.56
Sm (0.0000, 0.2955, 0.9999)  7 Sm 3.40-3.60, 2 Ho 3.62, 2 La 3.74
Sm (0.0000, 0.7045, 0.0001)  7 Sm 3.40-3.60, 2 Ho 3.62, 2 La 3.74
Sm (0.3603, 0.5643, 0.7206)  1 La 3.32, 4 Sm 3.39-3.60, 3 Ho 3.43-3.56
Sm (0.3602, 0.1561, 0.7204)  1 La 3.32, 4 Sm 3.39-3.60, 3 Ho 3.43-3.56
Sm (0.1636, 0.1637, 0.3272)  2 Ho 3.57, 8 Sm 3.57-3.76, 2 La 3.85
Sm (0.6397, 0.4357, 0.2794)  1 La 3.32, 4 Sm 3.39-3.60, 3 Ho 3.43-3.56
Sm (0.8364, 0.8363, 0.6728)  2 Ho 3.57, 8 Sm 3.57-3.76, 2 La 3.85
La (0.5000, 0.0000, 0.0000)  4 Sm 3.32
Ho (0.1996, 0.6996, 0.3993)  10 Sm 3.43-3.62
Ho (0.8004, 0.3004, 0.6007)  10 Sm 3.43-3.62

two | The following is a DFT calculation (PBE) of a relaxed structure of LaSm8Ho2.

Lattice parameters (Å, degrees): 5.6322 10.3508 10.3508 39.90 93.10 93.10
With the nearest neighbours (Å) after each atom.
Fractional coordinates of all 11 atoms:
Sm (0.7675, 0.8109, 0.8109)  4 Ho 3.36-3.57, 4 Sm 3.52-3.60
Sm (0.2688, 0.5972, 0.1344)  4 Sm 3.27-3.60, 3 Ho 3.49-3.64, 1 La 3.63
Sm (0.2325, 0.1891, 0.1891)  4 Ho 3.36-3.57, 4 Sm 3.52-3.60
Sm (0.7312, 0.4028, 0.8656)  4 Sm 3.27-3.60, 3 Ho 3.49-3.64, 1 La 3.63
Sm (0.2688, 0.1344, 0.5972)  4 Sm 3.27-3.60, 3 Ho 3.49-3.64, 1 La 3.63
Sm (0.2393, 0.5450, 0.5450)  2 Sm 3.13-3.51, 1 Ho 3.31
Sm (0.7607, 0.4550, 0.4550)  2 Sm 3.13-3.51, 1 Ho 3.31
Sm (0.7312, 0.8656, 0.4028)  4 Sm 3.27-3.60, 3 Ho 3.49-3.64, 1 La 3.63
Ho (0.2523, 0.7152, 0.7152)  11 Sm 3.31-3.64
Ho (0.7477, 0.2848, 0.2848)  11 Sm 3.31-3.64
La (0.0000, 0.0000, 0.0000)  10 Sm 3.63-3.86

one is favored, and the nearest alternative lies 2.2 kJ/mol of atoms above it.